1.
Below is an optimized crystal structure of Nd12C6I17, with properties calculated at the GGA-PBE level.

**Final energy**: -5.105 eV/atom
**Raw formation energy**: -1.136 eV per atom

abc: 12.002 12.002 19.377
angles: 91.28 91.28 63.56
Fractional coordinates of all 70 atoms:
Nd 0.032 0.049 0.873
Nd 0.049 0.032 0.373
Nd 0.075 0.606 0.616
Nd 0.139 0.141 0.552
Nd 0.141 0.139 0.052
Nd 0.161 0.695 0.788
Nd 0.202 0.791 0.521
Nd 0.209 0.798 0.979
Nd 0.305 0.839 0.712
Nd 0.394 0.925 0.884
Nd 0.421 0.482 0.652
Nd 0.482 0.421 0.152
Nd 0.518 0.579 0.848
Nd 0.579 0.518 0.348
Nd 0.606 0.075 0.116
Nd 0.695 0.161 0.288
Nd 0.791 0.202 0.021
Nd 0.798 0.209 0.479
Nd 0.839 0.305 0.212
Nd 0.859 0.861 0.948
Nd 0.861 0.859 0.448
Nd 0.925 0.394 0.384
Nd 0.951 0.968 0.627
Nd 0.968 0.951 0.127
C 0.032 0.033 0.512
C 0.033 0.032 0.012
C 0.132 0.782 0.650
C 0.218 0.868 0.850
C 0.242 0.671 0.653
C 0.329 0.758 0.847
C 0.671 0.242 0.153
C 0.758 0.329 0.347
C 0.782 0.132 0.150
C 0.868 0.218 0.350
C 0.967 0.968 0.988
C 0.968 0.967 0.488
I 0.000 0.460 0.248
I 0.000 0.540 0.752
I 0.073 0.127 0.709
I 0.103 0.607 0.938
I 0.104 0.596 0.451
I 0.127 0.073 0.209
I 0.185 0.209 0.902
I 0.209 0.185 0.402
I 0.219 0.692 0.136
I 0.284 0.323 0.600
I 0.308 0.781 0.364
I 0.323 0.284 0.100
I 0.388 0.410 0.802
I 0.393 0.897 0.562
I 0.404 0.896 0.049
I 0.410 0.388 0.302
I 0.460 0.000 0.748
I 0.500 0.500 0.000
I 0.500 0.500 0.500
I 0.540 0.000 0.252
I 0.590 0.612 0.698
I 0.596 0.104 0.951
I 0.607 0.103 0.438
I 0.612 0.590 0.198
I 0.677 0.716 0.900
I 0.692 0.219 0.636
I 0.716 0.677 0.400
I 0.781 0.308 0.864
I 0.791 0.815 0.598
I 0.815 0.791 0.098
I 0.873 0.927 0.791
I 0.896 0.404 0.549
I 0.897 0.393 0.062
I 0.927 0.873 0.291

---

2.
Below is an optimized crystal structure of As2PtPb2, with properties calculated at the GGA-PBE level.

**Final energy**: -4.362 eV/atom
**ΔE to the lowest computed polymorph**: 304.7 meV per atom

abc: 5.593 5.593 5.593
angles: 117.21 117.21 94.90
Fractional coordinates of all 5 atoms:
As 0.172 0.172 0.000
As 0.828 0.828 0.000
Pt 0.500 0.500 0.000
Pb 0.250 0.750 0.500
Pb 0.750 0.250 0.500

---

3.
Below is an optimized crystal structure of Bi2Pd7PtPb2, with properties calculated at the GGA-PBE level.

**Final energy**: -4.913 eV/atom

abc: 3.993 3.993 15.791
angles: 94.28 94.28 89.76
Fractional coordinates of all 12 atoms:
Bi 0.134 0.134 0.401
Bi 0.866 0.866 0.599
Pd 0.038 0.538 0.127
Pd 0.348 0.348 0.568
Pd 0.462 0.962 0.873
Pd 0.500 0.500 0.000
Pd 0.538 0.038 0.127
Pd 0.652 0.652 0.432
Pd 0.962 0.462 0.873
Pt 0.000 0.000 0.000
Pb 0.425 0.425 0.751
Pb 0.575 0.575 0.249

---

4.
Below is an optimized crystal structure of RbTmS2, with properties calculated at the GGA-PBE level.

**Final energy**: -5.256 eV/atom
**Raw formation energy**: -1.833 eV per atom

abc: 8.109 8.109 8.109
angles: 28.64 28.64 28.64
Fractional coordinates of all 4 atoms:
Rb 0.000 0.000 0.000
Tm 0.831 0.831 0.831
S 0.227 0.227 0.227
S 0.435 0.435 0.435

---

5.
Below is an optimized crystal structure of LiBeFe2, with properties calculated at the GGA-PBE level.

**Final energy**: -5.492 eV/atom

abc: 4.271 4.271 2.443
angles: 90.00 90.00 109.60
Fractional coordinates of all 4 atoms:
Li 0.000 0.000 0.000
Be 0.500 0.500 0.000
Fe 0.000 0.500 0.500
Fe 0.500 0.000 0.500

---

6.
Below is an optimized crystal structure of TaTlMo2, with properties calculated at the GGA-PBE level.

**Final energy**: -8.450 eV/atom
**ΔE to the lowest computed polymorph**: 179.8 meV per atom

abc: 4.659 4.659 4.659
angles: 60.00 60.00 60.00
Fractional coordinates of all 4 atoms:
Ta 0.000 0.000 0.000
Tl 0.500 0.500 0.500
Mo 0.250 0.250 0.250
Mo 0.750 0.750 0.750

---

7.
Below is an optimized crystal structure of Br2O, with properties calculated at the GGA-PBE level.

**Final energy**: -2.714 eV/atom
**Raw formation energy**: 0.054 eV per atom

abc: 4.945 7.362 7.380
angles: 84.42 72.37 74.09
Fractional coordinates of all 6 atoms:
Br 0.224 0.471 0.046
Br 0.235 0.038 0.537
Br 0.765 0.962 0.463
Br 0.776 0.529 0.954
O 0.372 0.511 0.498
O 0.628 0.489 0.502

---

8.
Below is an optimized crystal structure of DyY2HfN4, with properties calculated at the GGA-PBE level.

**Final energy**: -9.344 eV/atom
**Raw formation energy**: -1.746 eV per atom

abc: 5.885 3.388 5.886
angles: 90.00 109.21 90.00
Fractional coordinates of all 8 atoms:
Dy 0.000 0.000 0.000
Y 0.000 0.500 0.500
Y 0.500 0.000 0.500
Hf 0.500 0.500 0.000
N 0.260 0.500 0.238
N 0.268 0.000 0.768
N 0.732 0.000 0.232
N 0.740 0.500 0.762